# Pm3GeC GGA-PBE relaxed
# Theoretical density = 6.63 g/cm3
# Polymorph energy (0 for the lowest one) = 111 meV per atom
# Space-group type = Cmcm (63)
# Fermi-level density of states = 5.01 states/eV per cell
data_Pm3GeC
_cell_length_a 10.673
_cell_length_b 10.673
_cell_length_c 4.994
_cell_angle_alpha 90.00
_cell_angle_beta 90.00
_cell_angle_gamma 152.76
_space_group_name_H-M_alt 'P 1'
_space_group_IT_number 1
_space_group_name_Hall 'P 1'
loop_
_atom_site_label
_atom_site_fract_x
_atom_site_fract_y
_atom_site_fract_z
Pm1 0.062 0.938 0.750
Pm2 0.193 0.807 0.250
Pm3 0.424 0.576 0.750
Pm4 0.576 0.424 0.250
Pm5 0.807 0.193 0.750
Pm6 0.938 0.062 0.250
Ge1 0.339 0.661 0.250
Ge2 0.661 0.339 0.750
C1 0.074 0.926 0.250
C2 0.926 0.074 0.750

---

# Zr4GeSb7 GGA-PBE relaxed
# Theoretical density = 7.52 g/cm3
# Space-group type = Pm (6)
# Fermi-level density of states = 4.60 states/eV per cell
# E_form (uncorrected) = -566 meV per atom
data_Zr4GeSb7
_cell_length_a 7.363
_cell_length_b 3.994
_cell_length_c 9.687
_cell_angle_alpha 90.00
_cell_angle_beta 90.45
_cell_angle_gamma 90.00
_space_group_name_H-M_alt 'P 1'
_space_group_IT_number 1
_space_group_name_Hall 'P 1'
loop_
_atom_site_label
_atom_site_fract_x
_atom_site_fract_y
_atom_site_fract_z
Zr1 0.000 0.000 0.000
Zr2 0.013 0.500 0.505
Zr3 0.499 0.000 0.824
Zr4 0.519 0.500 0.334
Ge1 0.623 0.500 0.621
Sb1 0.126 0.500 0.212
Sb2 0.187 0.500 0.809
Sb3 0.335 0.000 0.525
Sb4 0.393 0.000 0.120
Sb5 0.691 0.500 0.015
Sb6 0.826 0.000 0.316
Sb7 0.871 0.000 0.704

---

# ZnNi2Rh GGA-PBE relaxed
# Theoretical density = 9.56 g/cm3
# Space-group type = Cmmm (65)
# Raw total energy = -20.7 eV/cell
# Fermi-level density of states = 5.85 states/eV per cell
data_ZnNi2Rh
_cell_length_a 4.442
_cell_length_b 4.442
_cell_length_c 2.653
_cell_angle_alpha 90.00
_cell_angle_beta 90.00
_cell_angle_gamma 108.58
_space_group_name_H-M_alt 'P 1'
_space_group_IT_number 1
_space_group_name_Hall 'P 1'
loop_
_atom_site_label
_atom_site_fract_x
_atom_site_fract_y
_atom_site_fract_z
Zn1 0.000 0.000 0.000
Ni1 0.000 0.500 0.500
Ni2 0.500 0.000 0.500
Rh1 0.500 0.500 0.000

---

# Ca3CdGa3 GGA-PBE relaxed
# Theoretical density = 4.08 g/cm3
# Space-group type = C2/m (12)
# Raw total energy = -38.1 eV/cell
# Fermi-level density of states = 8.86 states/eV per cell
data_Ca3CdGa3
_cell_length_a 6.087
_cell_length_b 6.087
_cell_length_c 14.852
_cell_angle_alpha 108.43
_cell_angle_beta 108.43
_cell_angle_gamma 44.02
_space_group_name_H-M_alt 'P 1'
_space_group_IT_number 1
_space_group_name_Hall 'P 1'
loop_
_atom_site_label
_atom_site_fract_x
_atom_site_fract_y
_atom_site_fract_z
Ca1 0.028 0.028 0.378
Ca2 0.109 0.109 0.924
Ca3 0.239 0.239 0.223
Ca4 0.761 0.761 0.777
Ca5 0.891 0.891 0.076
Ca6 0.972 0.972 0.622
Cd1 0.258 0.258 0.602
Cd2 0.742 0.742 0.398
Ga1 0.380 0.380 0.456
Ga2 0.400 0.400 0.924
Ga3 0.470 0.470 0.773
Ga4 0.530 0.530 0.227
Ga5 0.600 0.600 0.076
Ga6 0.620 0.620 0.544

---

# CoP2 GGA-PBE relaxed
# Theoretical density = 4.45 g/cm3
# Space-group type = Cmcm (63)
# Raw total energy = -36.0 eV/cell
# Fermi-level density of states = 2.87 states/eV per cell
data_CoP2
_cell_length_a 4.445
_cell_length_b 4.445
_cell_length_c 4.712
_cell_angle_alpha 90.00
_cell_angle_beta 90.00
_cell_angle_gamma 104.31
_space_group_name_H-M_alt 'P 1'
_space_group_IT_number 1
_space_group_name_Hall 'P 1'
loop_
_atom_site_label
_atom_site_fract_x
_atom_site_fract_y
_atom_site_fract_z
Co1 0.093 0.907 0.750
Co2 0.907 0.093 0.250
P1 0.000 0.388 0.750
P2 0.000 0.612 0.250
P3 0.388 0.000 0.250
P4 0.612 0.000 0.750

---

# PaSnSe GGA-PBE relaxed
# Theoretical density = 9.35 g/cm3
# Polymorph energy (0 for the lowest one) = 502 meV per atom
# Space-group type = P3m1 (156)
# Fermi-level density of states = 4.34 states/eV per cell
# E_form (uncorrected) = -393 meV per atom
data_PaSnSe
_cell_length_a 3.491
_cell_length_b 3.491
_cell_length_c 7.210
_cell_angle_alpha 90.00
_cell_angle_beta 90.00
_cell_angle_gamma 120.00
_space_group_name_H-M_alt 'P 1'
_space_group_IT_number 1
_space_group_name_Hall 'P 1'
loop_
_atom_site_label
_atom_site_fract_x
_atom_site_fract_y
_atom_site_fract_z
Pa1 0.000 0.000 0.000
Sn1 0.667 0.333 0.367
Se1 0.333 0.667 0.719

---

# TaAl4Sb GGA-PBE relaxed
# Theoretical density = 6.58 g/cm3
# Space-group type = F-43m (216)
# Fermi-level density of states = 2.85 states/eV per cell
# E_form (uncorrected) = 24 meV per atom
data_TaAl4Sb
_cell_length_a 5.272
_cell_length_b 5.272
_cell_length_c 5.272
_cell_angle_alpha 60.00
_cell_angle_beta 60.00
_cell_angle_gamma 60.00
_space_group_name_H-M_alt 'P 1'
_space_group_IT_number 1
_space_group_name_Hall 'P 1'
loop_
_atom_site_label
_atom_site_fract_x
_atom_site_fract_y
_atom_site_fract_z
Ta1 0.000 0.000 0.000
Al1 0.121 0.626 0.626
Al2 0.626 0.121 0.626
Al3 0.626 0.626 0.121
Al4 0.626 0.626 0.626
Sb1 0.250 0.250 0.250

---

# Ba3Tl7In2 GGA-PBE relaxed
# Theoretical density = 8.22 g/cm3
# Polymorph energy (0 for the lowest one) = 0 meV per atom
# Space-group type = P2/m (10)
# Fermi-level density of states = 7.42 states/eV per cell
data_Ba3Tl7In2
_cell_length_a 5.172
_cell_length_b 5.058
_cell_length_c 16.200
_cell_angle_alpha 90.00
_cell_angle_beta 99.15
_cell_angle_gamma 90.00
_space_group_name_H-M_alt 'P 1'
_space_group_IT_number 1
_space_group_name_Hall 'P 1'
loop_
_atom_site_label
_atom_site_fract_x
_atom_site_fract_y
_atom_site_fract_z
Ba1 0.000 0.000 0.000
Ba2 0.322 0.500 0.643
Ba3 0.678 0.500 0.357
Tl1 0.081 0.500 0.160
Tl2 0.227 0.000 0.454
Tl3 0.421 0.000 0.840
Tl4 0.500 0.500 0.000
Tl5 0.579 0.000 0.160
Tl6 0.773 0.000 0.546
Tl7 0.919 0.500 0.840
In1 0.132 0.000 0.270
In2 0.868 0.000 0.730

---

# PbW GGA-PBE relaxed
# Theoretical density = 16.05 g/cm3
# Polymorph energy (0 for the lowest one) = 652 meV per atom
# Space-group type = P2_13 (198)
# Fermi-level density of states = 6.63 states/eV per cell
data_PbW
_cell_length_a 5.450
_cell_length_b 5.450
_cell_length_c 5.450
_cell_angle_alpha 90.00
_cell_angle_beta 90.00
_cell_angle_gamma 90.00
_space_group_name_H-M_alt 'P 1'
_space_group_IT_number 1
_space_group_name_Hall 'P 1'
loop_
_atom_site_label
_atom_site_fract_x
_atom_site_fract_y
_atom_site_fract_z
Pb1 0.096 0.404 0.596
Pb2 0.404 0.596 0.096
Pb3 0.596 0.096 0.404
Pb4 0.904 0.904 0.904
W1 0.112 0.888 0.388
W2 0.388 0.112 0.888
W3 0.612 0.612 0.612
W4 0.888 0.388 0.112

---

# HoAgPb2Se4 GGA-PBE relaxed
# Theoretical density = 7.73 g/cm3
# Space-group type = P2/m (10)
# E_form (uncorrected) = -831 meV per atom
data_HoAgPb2Se4
_cell_length_a 7.273
_cell_length_b 4.221
_cell_length_c 7.441
_cell_angle_alpha 90.00
_cell_angle_beta 109.42
_cell_angle_gamma 90.00
_space_group_name_H-M_alt 'P 1'
_space_group_IT_number 1
_space_group_name_Hall 'P 1'
loop_
_atom_site_label
_atom_site_fract_x
_atom_site_fract_y
_atom_site_fract_z
Ho1 0.000 0.000 0.000
Ag1 0.500 0.500 0.000
Pb1 0.000 0.500 0.500
Pb2 0.500 0.000 0.500
Se1 0.237 0.500 0.229
Se2 0.255 0.000 0.774
Se3 0.745 0.000 0.226
Se4 0.763 0.500 0.771

---

# Ag5PbS4 GGA-PBE relaxed
# Theoretical density = 6.61 g/cm3
# Polymorph energy (0 for the lowest one) = 0 meV per atom
# Space-group type = Immm (71)
# Fermi-level density of states = 3.54 states/eV per cell
# E_form (uncorrected) = -67 meV per atom
data_Ag5PbS4
_cell_length_a 8.379
_cell_length_b 8.379
_cell_length_c 8.379
_cell_angle_alpha 152.05
_cell_angle_beta 126.60
_cell_angle_gamma 61.34
_space_group_name_H-M_alt 'P 1'
_space_group_IT_number 1
_space_group_name_Hall 'P 1'
loop_
_atom_site_label
_atom_site_fract_x
_atom_site_fract_y
_atom_site_fract_z
Ag1 0.000 0.000 0.000
Ag2 0.086 0.322 0.764
Ag3 0.442 0.678 0.764
Ag4 0.558 0.322 0.236
Ag5 0.914 0.678 0.236
Pb1 0.500 0.000 0.500
S1 0.218 0.500 0.718
S2 0.293 0.793 0.500
S3 0.707 0.207 0.500
S4 0.782 0.500 0.282

---

# Cs2Na4O GGA-PBE relaxed
# Theoretical density = 1.78 g/cm3
# Space-group type = I4/mmm (139)
# Fermi-level density of states = 4.61 states/eV per cell
# E_form (uncorrected) = -445 meV per atom
data_Cs2Na4O
_cell_length_a 15.988
_cell_length_b 15.988
_cell_length_c 15.988
_cell_angle_alpha 163.03
_cell_angle_beta 163.03
_cell_angle_gamma 24.09
_space_group_name_H-M_alt 'P 1'
_space_group_IT_number 1
_space_group_name_Hall 'P 1'
loop_
_atom_site_label
_atom_site_fract_x
_atom_site_fract_y
_atom_site_fract_z
Cs1 0.176 0.176 0.000
Cs2 0.824 0.824 0.000
Na1 0.000 0.500 0.500
Na2 0.427 0.427 0.000
Na3 0.500 0.000 0.500
Na4 0.573 0.573 0.000
O1 0.500 0.500 0.000

---

# Li2MoOs GGA-PBE relaxed
# Theoretical density = 7.91 g/cm3
# Polymorph energy (0 for the lowest one) = 0 meV per atom
# Space-group type = R3m (160)
# Fermi-level density of states = 1.12 states/eV per cell
data_Li2MoOs
_cell_length_a 9.660
_cell_length_b 9.660
_cell_length_c 9.660
_cell_angle_alpha 16.44
_cell_angle_beta 16.44
_cell_angle_gamma 16.44
_space_group_name_H-M_alt 'P 1'
_space_group_IT_number 1
_space_group_name_Hall 'P 1'
loop_
_atom_site_label
_atom_site_fract_x
_atom_site_fract_y
_atom_site_fract_z
Li1 0.000 0.000 0.000
Li2 0.241 0.241 0.241
Mo1 0.487 0.487 0.487
Os1 0.746 0.746 0.746

---

# CaZn9Pd2 GGA-PBE relaxed
# Theoretical density = 7.07 g/cm3
# Polymorph energy (0 for the lowest one) = 0 meV per atom
# Space-group type = I4_1/amd (141)
# Fermi-level density of states = 10.71 states/eV per cell
data_CaZn9Pd2
_cell_length_a 8.286
_cell_length_b 8.286
_cell_length_c 8.286
_cell_angle_alpha 100.29
_cell_angle_beta 100.29
_cell_angle_gamma 129.99
_space_group_name_H-M_alt 'P 1'
_space_group_IT_number 1
_space_group_name_Hall 'P 1'
loop_
_atom_site_label
_atom_site_fract_x
_atom_site_fract_y
_atom_site_fract_z
Ca1 0.375 0.625 0.750
Ca2 0.625 0.375 0.250
Zn1 0.125 0.875 0.250
Zn2 0.137 0.558 0.337
Zn3 0.137 0.800 0.579
Zn4 0.200 0.279 0.337
Zn5 0.200 0.863 0.921
Zn6 0.279 0.200 0.837
Zn7 0.279 0.442 0.079
Zn8 0.442 0.279 0.579
Zn9 0.442 0.863 0.163
Zn10 0.558 0.137 0.837
Zn11 0.558 0.721 0.421
Zn12 0.721 0.558 0.921
Zn13 0.721 0.800 0.163
Zn14 0.800 0.137 0.079
Zn15 0.800 0.721 0.663
Zn16 0.863 0.200 0.421
Zn17 0.863 0.442 0.663
Zn18 0.875 0.125 0.750
Pd1 0.000 0.000 0.000
Pd2 0.000 0.000 0.500
Pd3 0.000 0.500 0.000
Pd4 0.500 0.000 0.500

---

# Ta2AlNiGe GGA-PBE relaxed
# Theoretical density = 8.64 g/cm3
# Space-group type = P4/mmm (123)
# Raw total energy = -31.6 eV/cell
# Fermi-level density of states = 5.66 states/eV per cell
data_Ta2AlNiGe
_cell_length_a 4.744
_cell_length_b 4.744
_cell_length_c 4.442
_cell_angle_alpha 90.00
_cell_angle_beta 90.00
_cell_angle_gamma 90.00
_space_group_name_H-M_alt 'P 1'
_space_group_IT_number 1
_space_group_name_Hall 'P 1'
loop_
_atom_site_label
_atom_site_fract_x
_atom_site_fract_y
_atom_site_fract_z
Ta1 0.000 0.500 0.000
Ta2 0.500 0.000 0.000
Al1 0.000 0.000 0.500
Ni1 0.500 0.500 0.500
Ge1 0.000 0.000 0.000

---

# PrSi4Ni6 GGA-PBE relaxed
# Theoretical density = 6.95 g/cm3
# Space-group type = P-6m2 (187)
# Fermi-level density of states = 5.24 states/eV per cell
# E_form (uncorrected) = -646 meV per atom
data_PrSi4Ni6
_cell_length_a 6.659
_cell_length_b 6.659
_cell_length_c 3.766
_cell_angle_alpha 90.00
_cell_angle_beta 90.00
_cell_angle_gamma 120.00
_space_group_name_H-M_alt 'P 1'
_space_group_IT_number 1
_space_group_name_Hall 'P 1'
loop_
_atom_site_label
_atom_site_fract_x
_atom_site_fract_y
_atom_site_fract_z
Pr1 0.000 0.000 0.000
Si1 0.333 0.667 0.000
Si2 0.400 0.200 0.500
Si3 0.800 0.200 0.500
Si4 0.800 0.600 0.500
Ni1 0.206 0.412 0.500
Ni2 0.206 0.794 0.500
Ni3 0.535 0.071 0.000
Ni4 0.535 0.465 0.000
Ni5 0.588 0.794 0.500
Ni6 0.929 0.465 0.000

---

# Pr4InBi3 GGA-PBE relaxed
# Theoretical density = 7.75 g/cm3
# Space-group type = Pm-3m (221)
# Raw total energy = -39.5 eV/cell
# Fermi-level density of states = 4.62 states/eV per cell
data_Pr4InBi3
_cell_length_a 6.540
_cell_length_b 6.540
_cell_length_c 6.540
_cell_angle_alpha 90.00
_cell_angle_beta 90.00
_cell_angle_gamma 90.00
_space_group_name_H-M_alt 'P 1'
_space_group_IT_number 1
_space_group_name_Hall 'P 1'
loop_
_atom_site_label
_atom_site_fract_x
_atom_site_fract_y
_atom_site_fract_z
Pr1 0.000 0.000 0.000
Pr2 0.000 0.500 0.500
Pr3 0.500 0.000 0.500
Pr4 0.500 0.500 0.000
In1 0.500 0.500 0.500
Bi1 0.000 0.000 0.500
Bi2 0.000 0.500 0.000
Bi3 0.500 0.000 0.000

---

# LaGaTc2Ag GGA-PBE relaxed
# Theoretical density = 5.43 g/cm3
# Space-group type = P4/mmm (123)
# Raw total energy = -23.7 eV/cell
# Fermi-level density of states = 3.64 states/eV per cell
data_LaGaTc2Ag
_cell_length_a 5.298
_cell_length_b 5.298
_cell_length_c 5.583
_cell_angle_alpha 90.00
_cell_angle_beta 90.00
_cell_angle_gamma 90.00
_space_group_name_H-M_alt 'P 1'
_space_group_IT_number 1
_space_group_name_Hall 'P 1'
loop_
_atom_site_label
_atom_site_fract_x
_atom_site_fract_y
_atom_site_fract_z
La1 0.000 0.000 0.000
Ga1 0.500 0.500 0.000
Tc1 0.000 0.500 0.500
Tc2 0.500 0.000 0.500
Ag1 0.000 0.000 0.500

---

# Rb2ScBiI6 GGA-PBE relaxed
# Theoretical density = 3.98 g/cm3
# Space-group type = I4/mmm (139)
# Fermi-level density of states = 3.30 states/eV per cell
# E_form (uncorrected) = -937 meV per atom
data_Rb2ScBiI6
_cell_length_a 9.129
_cell_length_b 9.129
_cell_length_c 9.129
_cell_angle_alpha 124.65
_cell_angle_beta 124.65
_cell_angle_gamma 82.11
_space_group_name_H-M_alt 'P 1'
_space_group_IT_number 1
_space_group_name_Hall 'P 1'
loop_
_atom_site_label
_atom_site_fract_x
_atom_site_fract_y
_atom_site_fract_z
Rb1 0.250 0.750 0.500
Rb2 0.750 0.250 0.500
Sc1 0.000 0.000 0.000
Bi1 0.500 0.500 0.000
I1 0.211 0.211 0.000
I2 0.242 0.242 0.484
I3 0.242 0.758 0.000
I4 0.758 0.242 0.000
I5 0.758 0.758 0.516
I6 0.789 0.789 0.000

---

# BeIN2 GGA-PBE relaxed
# Theoretical density = 3.13 g/cm3
# Polymorph energy (0 for the lowest one) = 253 meV per atom
# Space-group type = Pmm2 (25)
# Fermi-level density of states = 0.11 states/eV per cell
# E_form (uncorrected) = 200 meV per atom
data_BeIN2
_cell_length_a 3.443
_cell_length_b 3.862
_cell_length_c 6.545
_cell_angle_alpha 90.00
_cell_angle_beta 90.00
_cell_angle_gamma 90.00
_space_group_name_H-M_alt 'P 1'
_space_group_IT_number 1
_space_group_name_Hall 'P 1'
loop_
_atom_site_label
_atom_site_fract_x
_atom_site_fract_y
_atom_site_fract_z
Be1 0.000 0.000 0.000
I1 0.000 0.500 0.780
N1 0.500 0.000 0.127
N2 0.500 0.000 0.310

---

Magnetization in μB/atom, matching the order above: 0.098 0.000 0.022 0.000 0.256 0.000 0.000 0.000 0.000 0.000 0.000 0.000 0.000 0.000 0.000 0.000 0.000 1.104 0.000 0.250